Entry 1:
{
  "formula": "KYZr2",
  "functional": "PBE",
  "state": "relaxed",
  "lattice": [[11.2240, 0.0000, 0.0000], [0.0000, 3.1837, 0.0000], [-0.4600, 0.0000, 7.6325]],
  "species": ["K", "K", "Y", "Y", "Zr", "Zr", "Zr", "Zr"],
  "frac_coords": [[0.0000, 0.0000, 0.0000], [0.5000, 0.5000, 0.0000], [0.0000, 0.5000, 0.5000], [0.5000, 0.0000, 0.5000], [0.2400, 0.0000, 0.6615], [0.2600, 0.5000, 0.3385], [0.7400, 0.5000, 0.6615], [0.7600, 0.0000, 0.3385]],
  "magmom_total_mub_per_atom": 0.00,
  "delta_e_f_ev_per_atom": 0.572,
  "density_kg_m3": 3780,
  "energy_ha_per_atom": -0.206
}

***

Entry 2:
{
  "formula": "KYZr2",
  "functional": "PBE",
  "state": "relaxed",
  "lattice": [[3.2680, 0.0000, 0.0000], [0.0000, 4.9365, 0.0000], [0.0000, 0.0000, 8.1818]],
  "species": ["K", "Y", "Zr", "Zr"],
  "frac_coords": [[0.0000, 0.0000, 0.0000], [0.0000, 0.0000, 0.5000], [0.5000, 0.5000, 0.3212], [0.5000, 0.5000, 0.6788]],
  "magmom_total_mub_per_atom": 0.00,
  "delta_e_f_ev_per_atom": 0.625,
  "density_kg_m3": 3906,
  "energy_ha_per_atom": -0.204
}

***

Entry 3:
{
  "formula": "KYZr2",
  "functional": "PBE",
  "state": "relaxed",
  "lattice": [[4.4002, 0.0000, 0.0000], [0.0000, 4.4002, 0.0000], [0.0000, 0.0000, 23.7862]],
  "species": ["K", "K", "K", "K", "Y", "Y", "Y", "Y", "Zr", "Zr", "Zr", "Zr", "Zr", "Zr", "Zr", "Zr"],
  "frac_coords": [[0.0000, 0.0000, 0.0000], [0.0000, 0.5000, 0.2500], [0.5000, 0.0000, 0.7500], [0.5000, 0.5000, 0.5000], [0.0000, 0.0000, 0.5000], [0.0000, 0.5000, 0.7500], [0.5000, 0.0000, 0.2500], [0.5000, 0.5000, 0.0000], [0.2406, 0.2500, 0.6250], [0.2500, 0.7406, 0.8750], [0.2500, 0.7594, 0.3750], [0.2594, 0.2500, 0.1250], [0.7406, 0.7500, 0.1250], [0.7500, 0.2406, 0.3750], [0.7500, 0.2594, 0.8750], [0.7594, 0.7500, 0.6250]],
  "magmom_total_mub_per_atom": 0.00,
  "delta_e_f_ev_per_atom": 1.042,
  "density_kg_m3": 4478,
  "energy_ha_per_atom": -0.188
}

***

Entry 4:
{
  "formula": "KY2Zr",
  "functional": "PBE",
  "state": "relaxed",
  "lattice": [[3.5011, 0.0000, 0.0000], [0.0000, 3.4986, 0.0000], [-0.0192, 0.0000, 11.4972]],
  "species": ["K", "Y", "Y", "Zr"],
  "frac_coords": [[0.0000, 0.0000, 0.0000], [0.4994, 0.5000, 0.3107], [0.5006, 0.5000, 0.6893], [0.0000, 0.0000, 0.5000]],
  "magmom_total_mub_per_atom": 0.00,
  "delta_e_f_ev_per_atom": 0.235,
  "density_kg_m3": 3633,
  "energy_ha_per_atom": -0.199
}

***

Entry 5:
{
  "formula": "KYZr2",
  "functional": "PBE",
  "state": "relaxed",
  "lattice": [[4.6428, 0.0000, 0.0000], [0.0000, 4.6428, 0.0000], [0.0000, 0.0000, 5.2827]],
  "species": ["K", "Y", "Zr", "Zr"],
  "frac_coords": [[0.0000, 0.0000, 0.0000], [0.5000, 0.5000, 0.0000], [0.0000, 0.5000, 0.5000], [0.5000, 0.0000, 0.5000]],
  "magmom_total_mub_per_atom": 0.00,
  "delta_e_f_ev_per_atom": 0.846,
  "density_kg_m3": 4527,
  "energy_ha_per_atom": -0.195
}

***

Entry 6:
{
  "formula": "KY2Zr",
  "functional": "PBE",
  "state": "relaxed",
  "lattice": [[3.6291, 0.0000, 0.0000], [0.0000, 4.4209, 0.0000], [0.0000, 0.0000, 9.1836]],
  "species": ["K", "Y", "Y", "Zr"],
  "frac_coords": [[0.0000, 0.0000, 0.0000], [0.0000, 0.0000, 0.5509], [0.5000, 0.5000, 0.3409], [0.5000, 0.5000, 0.6986]],
  "magmom_total_mub_per_atom": 0.00,
  "delta_e_f_ev_per_atom": 0.497,
  "density_kg_m3": 3473,
  "energy_ha_per_atom": -0.189
}

***

Entry 7:
{
  "formula": "KYZr2",
  "functional": "PBE",
  "state": "relaxed",
  "lattice": [[6.6317, 0.0000, 0.0000], [0.0000, 11.7366, 0.0000], [-0.9463, 0.0000, 2.9471]],
  "species": ["K", "K", "Y", "Y", "Zr", "Zr", "Zr", "Zr"],
  "frac_coords": [[0.0000, 0.0000, 0.0000], [0.5000, 0.5000, 0.0000], [0.0000, 0.5000, 0.0000], [0.5000, 0.0000, 0.0000], [0.2500, 0.2500, 0.5000], [0.2500, 0.7500, 0.5000], [0.7500, 0.2500, 0.5000], [0.7500, 0.7500, 0.5000]],
  "magmom_total_mub_per_atom": 0.33,
  "delta_e_f_ev_per_atom": 0.772,
  "density_kg_m3": 4495,
  "energy_ha_per_atom": -0.198
}

***

Entry 8:
{
  "formula": "KY2Zr",
  "functional": "PBE",
  "state": "relaxed",
  "lattice": [[8.0255, 0.0000, 0.0000], [0.0000, 8.0255, 0.0000], [0.0000, 0.0000, 8.0255]],
  "species": ["K", "K", "K", "K", "Y", "Y", "Y", "Y", "Y", "Y", "Y", "Y", "Zr", "Zr", "Zr", "Zr"],
  "frac_coords": [[0.0000, 0.0000, 0.0000], [0.0000, 0.5000, 0.5000], [0.5000, 0.0000, 0.5000], [0.5000, 0.5000, 0.0000], [0.2500, 0.2500, 0.2500], [0.2500, 0.2500, 0.7500], [0.2500, 0.7500, 0.2500], [0.2500, 0.7500, 0.7500], [0.7500, 0.2500, 0.2500], [0.7500, 0.2500, 0.7500], [0.7500, 0.7500, 0.2500], [0.7500, 0.7500, 0.7500], [0.0000, 0.0000, 0.5000], [0.0000, 0.5000, 0.0000], [0.5000, 0.0000, 0.0000], [0.5000, 0.5000, 0.5000]],
  "magmom_total_mub_per_atom": 0.49,
  "delta_e_f_ev_per_atom": 0.682,
  "density_kg_m3": 3959,
  "energy_ha_per_atom": -0.182
}